The following is a DFT calculation (GGA-PBE) of crystalline Ga3PRh at its relaxed geometry.

## Properties
Excess energy over the best structure of this formula in the dataset ... 457 meV per atom
E_form ... 0.6257 eV per atom

Lattice parameters (Å, degrees): 4.645 4.645 4.645 90.00 90.00 90.00
Space group Pm-3m (No. 221)
Symmetry-distinct sites (fractional):
Ga1 0.000 0.000 0.500
P1 0.000 0.000 0.000
Rh1 0.500 0.500 0.500